Record 1
CaZr2TlP | PBE | optimized geometry

Output
For the total magnetization, the calculation gives 0.000 μB per atom. As for the uncorrected energy: -27.084 eV/cell. The calculation puts the density at 5592 kg/m³. For the formation energy, the calculation gives -0.21 eV/f.u. The space-group type is No. 123.

```
5
Lattice="4.959 0.000 0.000 0.000 4.959 0.000 0.000 0.000 5.529" Properties=species:S:1:pos:R:3 pbc="T T T"
Ca 0.000 0.000 0.000
Zr 0.000 2.479 2.764
Zr 2.479 0.000 2.764
Tl 2.479 2.479 0.000
P 2.479 2.479 2.764
```

Record 2
Tb2NiOs | PBE | optimized geometry

Output
For the total magnetization, the calculation gives 0.000 μB per atom. As for the uncorrected energy: -24.341 eV/cell. The calculation puts the density at 10770 kg/m³. For the formation energy, the calculation gives 1.93 eV/f.u. The space-group type is No. 166.

```
4
Lattice="1.648 0.951 9.293 -1.648 0.951 9.293 0.000 -1.902 9.293" Properties=species:S:1:pos:R:3 pbc="T T T"
Tb 0.000 0.000 2.550
Tb 0.000 0.000 25.330
Ni 0.000 0.000 0.000
Os 0.000 0.000 13.940
```

Record 3
BaMg2InHg4 | PBE | optimized geometry

Output
For the total magnetization, the calculation gives 0.000 μB per atom. As for the uncorrected energy: -11.329 eV/cell. The calculation puts the density at 8313 kg/m³. For the formation energy, the calculation gives -2.27 eV/f.u. The space-group type is No. 166.

```
8
Lattice="2.453 1.416 10.570 -2.453 1.416 10.570 0.000 -2.833 10.570" Properties=species:S:1:pos:R:3 pbc="T T T"
Ba 0.000 0.000 0.000
Mg 0.000 0.000 7.403
Mg 0.000 0.000 24.306
In 0.000 0.000 15.855
Hg 0.000 0.000 3.899
Hg 0.000 0.000 12.607
Hg 0.000 0.000 19.103
Hg 0.000 0.000 27.811
```

Record 4
Ag2OsSe | PBE | optimized geometry

Output
For the total magnetization, the calculation gives 0.000 μB per atom. As for the uncorrected energy: -17.838 eV/cell. The formation energy without anion corrections is 0.645 eV/atom. The calculation puts the density at 11165 kg/m³. The space-group type is No. 123.

```
4
Lattice="2.740 0.000 0.000 0.000 2.740 0.000 0.000 0.000 9.607" Properties=species:S:1:pos:R:3 pbc="T T T"
Ag 0.000 0.000 2.186
Ag 0.000 0.000 7.420
Os 1.370 1.370 0.000
Se 1.370 1.370 4.803
```

Record 5
CaSiP2O | PBE | optimized geometry

Output
For the total magnetization, the calculation gives 0.000 μB per atom. As for the uncorrected energy: -19.291 eV/cell. The formation energy without anion corrections is 0.782 eV/atom. The calculation puts the density at 2128 kg/m³. For the excess energy over the best structure of this formula in the dataset, the calculation gives 1454 meV per atom. The space-group type is No. 123.

```
5
Lattice="5.295 0.000 0.000 0.000 5.295 0.000 0.000 0.000 4.067" Properties=species:S:1:pos:R:3 pbc="T T T"
Ca 0.000 0.000 0.000
Si 2.648 2.648 2.034
P 0.000 2.648 0.000
P 2.648 0.000 0.000
O 0.000 0.000 2.034
```

Record 6
K2RbMoAu | PBE | optimized geometry

Output
For the total magnetization, the calculation gives 1.021 μB per atom. As for the uncorrected energy: -10.732 eV/cell. The calculation puts the density at 2630 kg/m³. For the formation energy, the calculation gives 6.54 eV/f.u. The space-group type is No. 123.

```
5
Lattice="6.994 0.000 0.000 0.000 6.994 0.000 0.000 0.000 5.893" Properties=species:S:1:pos:R:3 pbc="T T T"
K 0.000 3.497 0.000
K 3.497 0.000 0.000
Rb 0.000 0.000 0.000
Mo 3.497 3.497 2.947
Au 0.000 0.000 2.947
```